# BaMg4P PBE-GGA relaxed
data_BaMg4P
_chemical_formula_sum 'Ba4 Mg16 P4'
_cell_length_a 8.6532
_cell_length_b 8.6532
_cell_length_c 8.6532
_cell_angle_alpha 90.00
_cell_angle_beta 90.00
_cell_angle_gamma 90.00
_space_group_name_H-M_alt 'F -4 3 m'
_space_group_IT_number 216
_space_group_name_Hall 'F -4 2 3'
loop_
_atom_site_label
_atom_site_type_symbol
_atom_site_fract_x
_atom_site_fract_y
_atom_site_fract_z
Ba1 Ba 0.0000 0.0000 0.0000
Mg1 Mg 0.1230 0.1230 0.6230
P1 P 0.2500 0.2500 0.2500
# * VASP energy: -2.14 eV per atom
# * formation energy: 0.9 eV per formula unit